No. 1
A relaxed structure of PmMgTlGe, computed with PBE-GGA.

The structure belongs to space group F-43m (No. 216); the cell edges are 7.3455, 7.3455 and 7.3455 Å and the angles 90.00°, 90.00° and 90.00°. Symmetry generates all atoms from Pm at (0.0000, 0.0000, 0.0000), Mg at (0.0000, 0.0000, 0.5000), Tl at (0.2500, 0.2500, 0.7500) and Ge at (0.2500, 0.2500, 0.2500).

The formation energy comes out at -0.26 eV/atom.

No. 2
A relaxed structure of Rb2Tl3GaBr6, computed with PBE-GGA.

The structure belongs to space group C2/m (No. 12); the cell edges are 20.8527, 4.7932 and 9.5772 Å and the angles 90.00°, 102.97° and 90.00°. Symmetry generates all atoms from Rb at (0.1647, 0.0000, 0.3270), Tl at (0.0000, 0.5000, 0.5000), Tl at (0.1661, 0.0000, 0.8347), Ga at (0.0000, 0.5000, 0.0000), Br at (0.0034, 0.0000, 0.7640), Br at (0.1576, 0.5000, 0.0707) and Br at (0.1642, 0.5000, 0.5842).

As for the raw formation energy: -1.09 eV/atom.

No. 3
A relaxed structure of SrPrGd, computed with PBE-GGA.

The structure belongs to space group P3m1 (No. 156); the cell edges are 3.8008, 3.8008 and 9.4456 Å and the angles 90.00°, 90.00° and 120.00°. Symmetry generates all atoms from Sr at (0.0000, 0.0000, 0.0000), Pr at (0.3333, 0.6667, 0.6443) and Gd at (0.6667, 0.3333, 0.3489).

The formation energy comes out at 0.11 eV/atom. Its energy above the most stable polymorph in this dataset is 21 meV/atom.